# 1
Computed, not measured: BC after structural relaxation at the GGA-PBE level of DFT.

a b c (Å): 4.785 4.785 7.864
angles (deg): 117.66 117.66 30.87
Atoms (fractional coordinates):
B (0.664, 0.664, 0.355)
B (0.485, 0.485, 0.381)
B (0.202, 0.202, 0.220)
B (0.982, 0.982, 0.993)
B (0.524, 0.524, 0.869)
B (0.301, 0.301, 0.638)
C (0.332, 0.332, 0.146)
C (0.832, 0.832, 0.037)
C (0.671, 0.671, 0.824)
C (0.163, 0.163, 0.705)
C (0.991, 0.991, 0.517)
C (0.851, 0.851, 0.565)

Output
V   13 Å³/f.u.
Formation energy   0.445 eV/atom
SG   Cm (8)
Offset from the most stable computed form   0.2947 eV/atom



# 2
Computed, not measured: B7C5 after structural relaxation at the GGA-PBE level of DFT.

a b c (Å): 4.545 4.545 8.835
angles (deg): 123.76 123.76 33.87
Atoms (fractional coordinates):
B (0.622, 0.622, 0.366)
B (0.398, 0.398, 0.358)
B (0.428, 0.428, 0.157)
B (0.131, 0.131, 0.224)
B (0.024, 0.024, 0.955)
B (0.691, 0.691, 0.829)
B (0.334, 0.334, 0.680)
C (0.902, 0.902, 0.044)
C (0.538, 0.538, 0.877)
C (0.156, 0.156, 0.692)
C (0.962, 0.962, 0.517)
C (0.814, 0.814, 0.552)

Output
V   83 Å³/f.u.
Formation energy   0.364 eV/atom
SG   Cm (8)
Offset from the most stable computed form   0.1994 eV/atom



# 3
Computed, not measured: B3C after structural relaxation at the GGA-PBE level of DFT.

a b c (Å): 2.767 2.767 17.071
angles (deg): 90.00 90.00 120.00
Atoms (fractional coordinates):
B (0.667, 0.333, 0.856)
B (0.000, 0.000, 0.856)
B (0.667, 0.333, 0.610)
B (0.667, 0.333, 0.352)
B (0.000, 0.000, 0.455)
B (0.333, 0.667, 0.511)
B (0.333, 0.667, 0.197)
B (0.667, 0.333, 0.246)
B (0.000, 0.000, 0.097)
C (0.333, 0.667, 0.603)
C (0.000, 0.000, 0.363)
C (0.333, 0.667, 0.104)

Output
V   38 Å³/f.u.
Formation energy   0.537 eV/atom
SG   P3m1 (156)
Offset from the most stable computed form   0.2968 eV/atom



# 4
Computed, not measured: B3C after structural relaxation at the GGA-PBE level of DFT.

a b c (Å): 2.645 4.465 7.686
angles (deg): 79.74 90.00 90.00
Atoms (fractional coordinates):
B (0.500, 0.435, 0.197)
B (0.000, 0.229, 0.123)
B (0.000, 0.939, 0.003)
B (0.500, 0.661, 0.971)
B (0.500, 0.595, 0.536)
B (0.000, 0.363, 0.659)
B (0.000, 0.819, 0.246)
B (0.500, 0.527, 0.758)
B (0.000, 0.351, 0.888)
C (0.500, 0.672, 0.329)
C (0.000, 0.030, 0.646)
C (0.500, 0.880, 0.645)

Output
V   30 Å³/f.u.
Formation energy   0.413 eV/atom
SG   Pm (6)
Offset from the most stable computed form   0.1726 eV/atom



# 5
Computed, not measured: B3C after structural relaxation at the GGA-PBE level of DFT.

a b c (Å): 7.002 7.044 4.403
angles (deg): 67.22 103.84 144.21
Atoms (fractional coordinates):
B (0.185, 0.716, 0.535)
B (0.077, 0.720, 0.842)
B (0.444, 0.903, 0.817)
B (0.380, 0.981, 0.098)
B (0.446, 0.438, 0.809)
B (0.082, 0.222, 0.813)
B (0.851, 0.350, 0.455)
B (0.418, 0.681, 0.683)
B (0.117, 0.981, 0.933)
C (0.729, 0.353, 0.116)
C (0.768, 0.613, 0.936)
C (0.752, 0.041, 0.714)

Output
V   39 Å³/f.u.
Formation energy   0.458 eV/atom
SG   P1 (1)
Offset from the most stable computed form   0.2176 eV/atom



# 6
Computed, not measured: BC after structural relaxation at the GGA-PBE level of DFT.

a b c (Å): 4.334 4.881 5.329
angles (deg): 90.00 90.00 90.00
Atoms (fractional coordinates):
B (0.256, 0.118, 0.061)
B (0.756, 0.382, 0.939)
B (0.744, 0.618, 0.439)
B (0.244, 0.882, 0.561)
B (0.365, 0.597, 0.829)
B (0.865, 0.903, 0.171)
B (0.635, 0.097, 0.671)
B (0.135, 0.403, 0.329)
C (0.630, 0.077, 0.016)
C (0.130, 0.423, 0.984)
C (0.370, 0.577, 0.484)
C (0.870, 0.923, 0.516)
C (0.381, 0.923, 0.848)
C (0.881, 0.577, 0.152)
C (0.619, 0.423, 0.652)
C (0.119, 0.077, 0.348)

Output
V   14 Å³/f.u.
Formation energy   0.353 eV/atom
SG   P2_12_12_1 (19)
Offset from the most stable computed form   0.2025 eV/atom



# 7
Computed, not measured: B7C5 after structural relaxation at the GGA-PBE level of DFT.

a b c (Å): 4.445 4.445 4.934
angles (deg): 96.89 96.89 122.24
Atoms (fractional coordinates):
B (0.050, 0.634, 0.167)
B (0.301, 0.383, 0.167)
B (0.430, 0.763, 0.002)
B (0.302, 0.635, 0.658)
B (0.792, 0.125, 0.482)
B (0.579, 0.302, 0.953)
B (0.969, 0.913, 0.953)
C (0.143, 0.813, 0.493)
C (0.479, 0.476, 0.493)
C (0.817, 0.151, 0.158)
C (0.521, 0.200, 0.612)
C (0.867, 0.854, 0.612)

Output
V   80 Å³/f.u.
Formation energy   0.426 eV/atom
SG   Cm (8)
Offset from the most stable computed form   0.2620 eV/atom



# 8
Computed, not measured: BC11 after structural relaxation at the GGA-PBE level of DFT.

a b c (Å): 2.539 2.539 12.583
angles (deg): 90.00 90.00 120.00
Atoms (fractional coordinates):
B (0.667, 0.333, 0.831)
C (0.000, 0.000, 0.884)
C (0.333, 0.667, 0.662)
C (0.667, 0.333, 0.702)
C (0.667, 0.333, 0.333)
C (0.000, 0.000, 0.374)
C (0.000, 0.000, 0.498)
C (0.333, 0.667, 0.538)
C (0.333, 0.667, 0.169)
C (0.667, 0.333, 0.210)
C (0.000, 0.000, 0.004)
C (0.333, 0.667, 0.046)

Output
V   70 Å³/f.u.
Formation energy   0.192 eV/atom
SG   P3m1 (156)
Offset from the most stable computed form   0.0096 eV/atom



Number 1: VASP energy -7.505 eV/atom. Number 2: VASP energy -7.375 eV/atom. Number 3: VASP energy -6.777 eV/atom. Number 4: VASP energy -6.901 eV/atom. Number 5: VASP energy -6.856 eV/atom. Number 6: VASP energy -7.597 eV/atom. Number 7: VASP energy -7.312 eV/atom. Number 8: VASP energy -8.820 eV/atom.